VASP calculation (PBE) on a relaxed CsNaTmF6 crystal.

Calculated values
SG ... Imma (74)
E_form (uncorrected) ... -3.028 eV/atom

Unit cell a=8.102 b=8.102 c=8.102 alpha=126.15 beta=118.93 gamma=85.77
Fractional positions:
Cs: 0.377 0.127 0.250
Cs: 0.623 0.873 0.750
Na: 0.000 0.000 0.500
Na: 0.000 0.500 0.000
Tm: 0.000 0.500 0.500
Tm: 0.500 0.500 0.000
F: 0.082 0.419 0.253
F: 0.082 0.829 0.662
F: 0.124 0.874 0.250
F: 0.304 0.554 0.750
F: 0.334 0.171 0.753
F: 0.334 0.581 0.162
F: 0.666 0.419 0.838
F: 0.666 0.829 0.247
F: 0.696 0.446 0.250
F: 0.876 0.126 0.750
F: 0.918 0.171 0.338
F: 0.918 0.581 0.747

=====

VASP calculation (PBE) on a relaxed LaYGa2Ni2 crystal.

Calculated values
SG ... P-3m1 (164)
Formation enthalpy at 0 K ... -0.573 eV/atom

Unit cell a=4.337 b=4.337 c=7.369 alpha=90.00 beta=90.00 gamma=120.00
Fractional positions:
La: 0.000 0.000 0.000
Y: 0.000 0.000 0.500
Ga: 0.333 0.667 0.276
Ga: 0.667 0.333 0.724
Ni: 0.333 0.667 0.724
Ni: 0.667 0.333 0.276

=====

VASP calculation (PBE) on a relaxed KBe2Ir crystal.

Calculated values
Offset from the most stable computed form ... 0 meV/atom
SG ... Cm (8)
Formation enthalpy at 0 K ... -0.070 eV/atom

Unit cell a=3.810 b=3.810 c=6.580 alpha=106.72 beta=106.72 gamma=60.02
Fractional positions:
K: 0.000 0.000 0.000
Be: 0.492 0.492 0.472
Be: 0.823 0.823 0.465
Ir: 0.187 0.187 0.558

=====

VASP calculation (PBE) on a relaxed AcSm2Tl4 crystal.

Calculated values
SG ... P4/mmm (123)
Formation enthalpy at 0 K ... -0.189 eV/atom

Unit cell a=5.413 b=5.413 c=7.947 alpha=90.00 beta=90.00 gamma=90.00
Fractional positions:
Ac: 0.000 0.000 0.000
Sm: 0.000 0.000 0.500
Sm: 0.500 0.500 0.000
Tl: 0.000 0.500 0.279
Tl: 0.000 0.500 0.721
Tl: 0.500 0.000 0.279
Tl: 0.500 0.000 0.721

=====

VASP calculation (PBE) on a relaxed Ag2AsPd2 crystal.

Calculated values
SG ... P4/mbm (127)
Formation enthalpy at 0 K ... -0.069 eV/atom

Unit cell a=6.407 b=6.407 c=4.383 alpha=90.00 beta=90.00 gamma=90.00
Fractional positions:
Ag: 0.156 0.344 0.000
Ag: 0.344 0.844 0.000
Ag: 0.656 0.156 0.000
Ag: 0.844 0.656 0.000
As: 0.000 0.000 0.500
As: 0.500 0.500 0.500
Pd: 0.153 0.653 0.500
Pd: 0.347 0.153 0.500
Pd: 0.653 0.847 0.500
Pd: 0.847 0.347 0.500

=====

VASP calculation (PBE) on a relaxed GdHoZr crystal.

Calculated values
Offset from the most stable computed form ... 0 meV/atom
SG ... I4mm (107)
Formation enthalpy at 0 K ... 0.080 eV/atom

Unit cell a=7.771 b=7.771 c=7.771 alpha=154.77 beta=154.77 gamma=35.98
Fractional positions:
Gd: 0.000 0.000 0.000
Ho: 0.311 0.311 0.000
Zr: 0.658 0.658 0.000

=====

VASP calculation (PBE) on a relaxed Th2AlPd crystal.

Calculated values
Offset from the most stable computed form ... 565 meV/atom
SG ... R-3m (166)
Formation enthalpy at 0 K ... 0.067 eV/atom

Unit cell a=10.935 b=10.935 c=10.935 alpha=17.40 beta=17.40 gamma=17.40
Fractional positions:
Th: 0.085 0.085 0.085
Th: 0.915 0.915 0.915
Al: 0.500 0.500 0.500
Pd: 0.000 0.000 0.000

=====

VASP calculation (PBE) on a relaxed CrCdOs2 crystal.

Calculated values
SG ... Cmmm (65)
Formation enthalpy at 0 K ... 0.703 eV/atom

Unit cell a=4.872 b=4.872 c=2.807 alpha=90.00 beta=90.00 gamma=112.97
Fractional positions:
Cr: 0.000 0.000 0.000
Cd: 0.500 0.500 0.000
Os: 0.000 0.500 0.500
Os: 0.500 0.000 0.500

=====

VASP calculation (PBE) on a relaxed NdDyNi2P2 crystal.

Calculated values
SG ... P-3m1 (164)
Formation enthalpy at 0 K ... -1.191 eV/atom

Unit cell a=3.925 b=3.925 c=7.940 alpha=90.00 beta=90.00 gamma=120.00
Fractional positions:
Nd: 0.000 0.000 0.000
Dy: 0.000 0.000 0.500
Ni: 0.333 0.667 0.743
Ni: 0.667 0.333 0.257
P: 0.333 0.667 0.260
P: 0.667 0.333 0.740

=====

VASP calculation (PBE) on a relaxed NdScRuPt crystal.

Calculated values
SG ... F-43m (216)
Formation enthalpy at 0 K ... -0.656 eV/atom

Unit cell a=4.831 b=4.831 c=4.831 alpha=60.00 beta=60.00 gamma=60.00
Fractional positions:
Nd: 0.000 0.000 0.000
Sc: 0.500 0.500 0.500
Ru: 0.750 0.750 0.750
Pt: 0.250 0.250 0.250

=====

VASP calculation (PBE) on a relaxed HgSbOs2 crystal.

Calculated values
Offset from the most stable computed form ... 317 meV/atom
SG ... P4/mmm (123)
E_form (uncorrected) ... 0.818 eV/atom

Unit cell a=3.217 b=3.217 c=6.733 alpha=90.00 beta=90.00 gamma=90.00
Fractional positions:
Hg: 0.000 0.000 0.000
Sb: 0.000 0.000 0.500
Os: 0.500 0.500 0.273
Os: 0.500 0.500 0.727

=====

VASP calculation (PBE) on a relaxed SrVSe2Br crystal.

Calculated values
Offset from the most stable computed form ... 1215 meV/atom
SG ... P4/mmm (123)
E_form (uncorrected) ... 0.178 eV/atom

Unit cell a=5.818 b=5.818 c=5.655 alpha=90.00 beta=90.00 gamma=90.00
Fractional positions:
Sr: 0.000 0.000 0.000
V: 0.500 0.500 0.500
Se: 0.000 0.500 0.000
Se: 0.500 0.000 0.000
Br: 0.000 0.000 0.500